# In2PbBr GGA-PBE relaxed
data_In2PbBr
_space_group_name_H-M_alt 'P 1'
_space_group_IT_number 1
_cell_length_a 6.778
_cell_length_b 6.778
_cell_length_c 6.778
_cell_angle_alpha 149.45
_cell_angle_beta 131.06
_cell_angle_gamma 58.80
loop_
_space_group_symop_operation_xyz
'x,y,z'
loop_
_atom_site_label
_atom_site_fract_x
_atom_site_fract_y
_atom_site_fract_z
In1 0.000 0.000 0.000
In2 0.764 0.264 0.500
Pb1 0.241 0.741 0.500
Br1 0.507 0.507 0.000
# calculated total energy = -2.868 eV/atom
# energy above the most stable polymorph in this dataset = 68 meV/atom
# space-group type = No. 44
# energy relative to the elements, uncorrected = -59 kJ/mol of formula units

---

# TaZnRe2 GGA-PBE relaxed
data_TaZnRe2
_space_group_name_H-M_alt 'P 1'
_space_group_IT_number 1
_cell_length_a 5.276
_cell_length_b 5.276
_cell_length_c 2.725
_cell_angle_alpha 101.97
_cell_angle_beta 101.97
_cell_angle_gamma 116.78
loop_
_space_group_symop_operation_xyz
'x,y,z'
loop_
_atom_site_label
_atom_site_fract_x
_atom_site_fract_y
_atom_site_fract_z
Ta1 0.000 0.000 0.000
Zn1 0.500 0.500 0.000
Re1 0.000 0.500 0.500
Re2 0.500 0.000 0.500
# DFT formation energy = 0.1044 eV/atom
# calculated total energy = -9.401 eV/atom
# space-group type = No. 12

---

# RbV2Br6 GGA-PBE relaxed
data_RbV2Br6
_space_group_name_H-M_alt 'P 1'
_space_group_IT_number 1
_cell_length_a 6.774
_cell_length_b 6.774
_cell_length_c 7.756
_cell_angle_alpha 90.00
_cell_angle_beta 90.00
_cell_angle_gamma 120.00
loop_
_space_group_symop_operation_xyz
'x,y,z'
loop_
_atom_site_label
_atom_site_fract_x
_atom_site_fract_y
_atom_site_fract_z
Rb1 0.000 0.000 0.000
V1 0.333 0.667 0.500
V2 0.667 0.333 0.500
Br1 0.000 0.373 0.690
Br2 0.000 0.627 0.310
Br3 0.373 0.000 0.690
Br4 0.373 0.373 0.310
Br5 0.627 0.000 0.310
Br6 0.627 0.627 0.690
# calculated total energy = -4.322 eV/atom
# space-group type = No. 162
# energy relative to the elements, uncorrected = -932 kJ/mol of formula units

---

# BaNaPmSe3 GGA-PBE relaxed
data_BaNaPmSe3
_space_group_name_H-M_alt 'P 1'
_space_group_IT_number 1
_cell_length_a 9.020
_cell_length_b 4.433
_cell_length_c 9.631
_cell_angle_alpha 90.00
_cell_angle_beta 105.45
_cell_angle_gamma 90.00
loop_
_space_group_symop_operation_xyz
'x,y,z'
loop_
_atom_site_label
_atom_site_fract_x
_atom_site_fract_y
_atom_site_fract_z
Ba1 0.208 0.250 0.239
Ba2 0.792 0.750 0.761
Na1 0.090 0.250 0.585
Na2 0.910 0.750 0.415
Pm1 0.327 0.750 0.842
Pm2 0.673 0.250 0.158
Se1 0.112 0.250 0.875
Se2 0.243 0.750 0.519
Se3 0.451 0.750 0.159
Se4 0.549 0.250 0.841
Se5 0.757 0.250 0.481
Se6 0.888 0.750 0.125
# calculated total energy = -4.757 eV/atom
# space-group type = No. 11
# energy relative to the elements, uncorrected = -974 kJ/mol of formula units

---

# NaYP2S GGA-PBE relaxed
data_NaYP2S
_space_group_name_H-M_alt 'P 1'
_space_group_IT_number 1
_cell_length_a 5.358
_cell_length_b 5.358
_cell_length_c 5.271
_cell_angle_alpha 90.00
_cell_angle_beta 90.00
_cell_angle_gamma 90.00
loop_
_space_group_symop_operation_xyz
'x,y,z'
loop_
_atom_site_label
_atom_site_fract_x
_atom_site_fract_y
_atom_site_fract_z
Na1 0.000 0.000 0.000
Y1 0.500 0.500 0.500
P1 0.000 0.500 0.500
P2 0.500 0.000 0.500
S1 0.500 0.500 0.000
# calculated total energy = -4.623 eV/atom
# energy above the most stable polymorph in this dataset = 0 meV/atom
# space-group type = No. 123
# energy relative to the elements, uncorrected = -37 kJ/mol of formula units

---

# Rb3Bi8Au3 GGA-PBE relaxed
data_Rb3Bi8Au3
_space_group_name_H-M_alt 'P 1'
_space_group_IT_number 1
_cell_length_a 10.045
_cell_length_b 10.045
_cell_length_c 10.045
_cell_angle_alpha 149.45
_cell_angle_beta 106.79
_cell_angle_gamma 81.37
loop_
_space_group_symop_operation_xyz
'x,y,z'
loop_
_atom_site_label
_atom_site_fract_x
_atom_site_fract_y
_atom_site_fract_z
Rb1 0.000 0.000 0.000
Rb2 0.335 0.335 0.000
Rb3 0.665 0.665 0.000
Bi1 0.040 0.675 0.365
Bi2 0.176 0.890 0.286
Bi3 0.309 0.675 0.635
Bi4 0.396 0.110 0.286
Bi5 0.604 0.890 0.714
Bi6 0.691 0.325 0.365
Bi7 0.824 0.110 0.714
Bi8 0.960 0.325 0.635
Au1 0.250 0.500 0.750
Au2 0.500 0.000 0.500
Au3 0.750 0.500 0.250
# DFT formation energy = -0.1430 eV/atom
# calculated total energy = -3.270 eV/atom
# space-group type = No. 71

---

# AgH3W GGA-PBE relaxed
data_AgH3W
_space_group_name_H-M_alt 'P 1'
_space_group_IT_number 1
_cell_length_a 3.578
_cell_length_b 3.578
_cell_length_c 3.578
_cell_angle_alpha 90.00
_cell_angle_beta 90.00
_cell_angle_gamma 90.00
loop_
_space_group_symop_operation_xyz
'x,y,z'
loop_
_atom_site_label
_atom_site_fract_x
_atom_site_fract_y
_atom_site_fract_z
Ag1 0.000 0.000 0.000
H1 0.000 0.500 0.500
H2 0.500 0.000 0.500
H3 0.500 0.500 0.000
W1 0.500 0.500 0.500
# calculated total energy = -4.630 eV/atom
# energy above the most stable polymorph in this dataset = 0 meV/atom
# space-group type = No. 221

---

# Zn3Ga3Hg GGA-PBE relaxed
data_Zn3Ga3Hg
_space_group_name_H-M_alt 'P 1'
_space_group_IT_number 1
_cell_length_a 7.183
_cell_length_b 7.183
_cell_length_c 7.183
_cell_angle_alpha 90.00
_cell_angle_beta 90.00
_cell_angle_gamma 90.00
loop_
_space_group_symop_operation_xyz
'x,y,z'
loop_
_atom_site_label
_atom_site_fract_x
_atom_site_fract_y
_atom_site_fract_z
Zn1 0.000 0.250 0.500
Zn2 0.000 0.750 0.500
Zn3 0.250 0.500 0.000
Zn4 0.500 0.000 0.250
Zn5 0.500 0.000 0.750
Zn6 0.750 0.500 0.000
Ga1 0.000 0.500 0.250
Ga2 0.000 0.500 0.750
Ga3 0.250 0.000 0.500
Ga4 0.500 0.250 0.000
Ga5 0.500 0.750 0.000
Ga6 0.750 0.000 0.500
Hg1 0.000 0.000 0.000
Hg2 0.500 0.500 0.500
# DFT formation energy = 0.3784 eV/atom
# calculated total energy = -1.508 eV/atom
# space-group type = No. 223